(1)
Sm3SnRu | PBE | relaxed

Geometry as POSCAR:
```
Sm3SnRu
1.0
5.357 0.000 0.000
0.000 5.357 0.000
0.000 0.000 5.357
Sm Sn Ru
3 1 1
direct
0.000 0.000 0.500 Sm
0.000 0.500 0.000 Sm
0.500 0.000 0.000 Sm
0.500 0.500 0.500 Sn
0.000 0.000 0.000 Ru
```

Results
**Distance to the lowest polymorph of the same formula**: 180 meV/atom
**Energy of formation**: -25.2 kJ per mole of atoms

***

(2)
Ho6ErCo2 | PBE | relaxed

Geometry as POSCAR:
```
Ho6ErCo2
1.0
-4.705 4.946 5.003
4.705 -4.946 5.003
4.705 4.946 -5.003
Ho Er Co
12 2 4
direct
0.030 0.242 0.787 Ho
0.185 0.288 0.472 Ho
0.185 0.712 0.897 Ho
0.319 0.003 0.684 Ho
0.319 0.635 0.316 Ho
0.455 0.242 0.213 Ho
0.545 0.758 0.787 Ho
0.681 0.365 0.684 Ho
0.681 0.997 0.316 Ho
0.815 0.288 0.103 Ho
0.815 0.712 0.528 Ho
0.970 0.758 0.213 Ho
0.000 0.000 0.000 Er
0.500 0.500 0.000 Er
0.114 0.614 0.500 Co
0.295 0.000 0.295 Co
0.705 0.000 0.705 Co
0.886 0.386 0.500 Co
```

Results
**Energy of formation**: -7.6 kJ per mole of atoms

***

(3)
LaV3C | PBE | relaxed

Geometry as POSCAR:
```
LaV3C
1.0
4.227 0.000 0.000
0.000 4.227 0.000
0.000 0.000 4.227
La V C
1 3 1
direct
0.000 0.000 0.000 La
0.000 0.500 0.500 V
0.500 0.000 0.500 V
0.500 0.500 0.000 V
0.500 0.500 0.500 C
```

Results
**Distance to the lowest polymorph of the same formula**: 0 meV/atom
**Energy of formation**: 29.4 kJ per mole of atoms